Entry 1:
VASP calculation (PBE-GGA) on an optimized crystal structure of SrInRe2N.

The value obtained for the energy above the lowest structure with this stoichiometry is 0 meV/atom. The value obtained for the uncorrected formation energy is 0.605 eV/atom.

The space group is P4/mmm (No. 123) and the conventional cell measures 4.116, 4.116 and 5.497 Å, with angles of 90.00, 90.00 and 90.00 degrees. The inequivalent atoms are Sr at (0.000, 0.000, 0.000), In at (0.500, 0.500, 0.000), Re at (0.000, 0.500, 0.500) and N at (0.500, 0.500, 0.500).


Entry 2:
VASP calculation (PBE-GGA) on an optimized crystal structure of SrInRe2N.

The value obtained for the energy above the lowest structure with this stoichiometry is 2596 meV/atom. The value obtained for the uncorrected formation energy is 3.201 eV/atom.

The space group is P4/mmm (No. 123) and the conventional cell measures 5.082, 5.082 and 4.188 Å, with angles of 90.00, 90.00 and 90.00 degrees. The inequivalent atoms are Sr at (0.000, 0.000, 0.000), In at (0.500, 0.500, 0.500), Re at (0.000, 0.500, 0.000) and N at (0.000, 0.000, 0.500).